[1]
4
Lattice="1.716 0.991 9.953 -1.716 0.991 9.953 0.000 -1.981 9.953" Properties=species:S:1:pos:R:3 comment="SmSc2Ag (PBE, relaxed)" total_magnetization_mub_per_fu=0.00 delta_e_f_ev_per_atom=0.0466 pbc="T T T"
Sm 0.000 0.000 0.000
Sc 0.000 0.000 17.073
Sc 0.000 0.000 22.687
Ag 0.000 0.000 4.936



[2]
8
Lattice="4.048 -5.716 0.000 4.048 5.716 0.000 0.000 0.000 4.029" Properties=species:S:1:pos:R:3 comment="Th4BS3 (PBE, relaxed)" total_magnetization_mub_per_fu=0.00 raw_formation_energy_ev_per_fu=-11.80 pbc="T T T"
Th 1.854 0.000 2.014
Th 4.048 2.980 0.000
Th 4.048 -2.980 0.000
Th 6.241 0.000 2.014
B 0.000 0.000 0.000
S 2.024 2.858 2.014
S 2.024 -2.858 2.014
S 4.048 0.000 0.000



[3]
11
Lattice="-2.817 4.109 7.993 2.817 -4.109 7.993 2.817 4.109 -7.993" Properties=species:S:1:pos:R:3 comment="PmSm8Tm2 (PBE, relaxed)" total_magnetization_mub_per_fu=0.00 delta_e_f_ev_per_atom=0.1122 pbc="T T T"
Pm 0.000 0.000 0.000
Sm 2.817 -1.683 5.793
Sm 2.817 0.000 2.633
Sm 2.817 2.422 0.000
Sm 0.000 2.426 2.200
Sm 2.817 1.683 5.793
Sm 0.000 1.687 7.993
Sm 0.000 4.109 5.359
Sm 0.000 5.792 2.200
Tm 0.000 0.000 4.800
Tm 0.000 0.000 11.186



[4]
14
Lattice="6.098 0.000 0.000 0.000 6.485 0.000 -1.560 0.000 10.006" Properties=species:S:1:pos:R:3 comment="Tm4Sn2Bi (PBE, relaxed)" total_magnetization_mub_per_fu=0.00 delta_e_f_ev_per_atom=-0.5464 pbc="T T T"
Tm -0.061 1.621 1.725
Tm 0.126 4.864 4.530
Tm 1.477 0.024 7.328
Tm 1.477 3.219 7.328
Tm 3.061 3.266 2.677
Tm 3.061 6.461 2.677
Tm 4.413 1.621 5.475
Tm 4.599 4.864 8.280
Sn 1.222 1.621 4.617
Sn 3.007 1.621 0.087
Sn 1.531 4.864 9.919
Sn 3.316 4.864 5.389
Bi 0.038 4.864 1.517
Bi 4.500 1.621 8.489



[5]
3
Lattice="4.341 0.000 0.000 -2.170 3.759 0.000 0.000 0.000 3.427" Properties=species:S:1:pos:R:3 comment="ScBeTl (PBE, relaxed)" total_magnetization_mub_per_fu=0.00 delta_e_f_ev_per_atom=-0.0334 pbc="T T T"
Sc 0.000 0.000 0.000
Be 0.000 2.506 1.714
Tl 2.170 1.253 1.714



[6]
5
Lattice="5.995 0.000 0.000 0.000 5.995 0.000 0.000 0.000 5.777" Properties=species:S:1:pos:R:3 comment="K2LaScSn (PBE, relaxed)" total_magnetization_mub_per_fu=1.85 delta_e_f_ev_per_atom=0.6488 pbc="T T T"
K 0.000 2.998 0.000
K 2.998 0.000 0.000
La 0.000 0.000 2.889
Sc 2.998 2.998 0.000
Sn 2.998 2.998 2.889



[7]
4
Lattice="1.414 0.817 9.046 -1.414 0.817 9.046 0.000 -1.633 9.046" Properties=species:S:1:pos:R:3 comment="Ta2ZnCo (PBE, relaxed)" total_magnetization_mub_per_fu=0.17 delta_e_f_ev_per_atom=0.1642 pbc="T T T"
Ta 0.000 0.000 6.630
Ta 0.000 0.000 20.509
Zn 0.000 0.000 0.000
Co 0.000 0.000 13.569



[8]
12
Lattice="7.525 -3.272 0.000 7.525 3.272 0.000 -2.847 0.000 6.509" Properties=species:S:1:pos:R:3 comment="BaCuSe8S2 (PBE, relaxed)" total_magnetization_mub_per_fu=0.00 raw_formation_energy_ev_per_fu=-2.25 pbc="T T T"
Ba 0.000 0.000 0.000
Cu 6.102 0.000 3.254
Se 5.103 1.541 1.670
Se 2.415 0.000 2.706
Se 7.100 1.541 4.839
Se 3.579 0.000 6.066
Se 8.625 0.000 0.442
Se 5.103 -1.541 1.670
Se 9.788 0.000 3.803
Se 7.100 -1.541 4.839
S 0.286 0.000 3.304
S 11.918 0.000 3.205